Record 1
The following is a PBE calculation of a relaxed Na4InPb5 crystal, from Alexandria via LeMat-Bulk. Values from VASP.

Calculated values
volume: 286.2 Å³/cell
spin magnetization: 0.0 Bohr magnetons per cell
formation energy from the elements: -100 meV per atom
uncorrected energy: -27.6 eV/f.u.
Fermi-level density of states: 4.43 states/eV/cell

Structure (Quantum ESPRESSO input):
```
&SYSTEM
  ibrav = 0, nat = 10, ntyp = 3
/
ATOMIC_SPECIES
Na 22.99 Na.upf
In 114.82 In.upf
Pb 207.20 Pb.upf
CELL_PARAMETERS angstrom
3.935 0.000 0.000
0.000 3.935 0.000
0.000 0.000 18.482
ATOMIC_POSITIONS angstrom
Na 0.000 0.000 1.832
Na 0.000 0.000 5.515
Na 0.000 0.000 12.966
Na 0.000 0.000 16.649
In 0.000 0.000 9.241
Pb 1.968 1.968 0.000
Pb 1.968 1.968 3.660
Pb 1.968 1.968 7.509
Pb 1.968 1.968 10.972
Pb 1.968 1.968 14.822
```

=====

Record 2
The following is a PBE calculation of a relaxed Na2In6Pb crystal, from Alexandria via LeMat-Bulk. Values from VASP.

Calculated values
volume: 249.0 Å³/cell
spin magnetization: 0.0 Bohr magnetons per cell
formation energy from the elements: -61 meV per atom
uncorrected energy: -23.3 eV/f.u.
offset from the most stable computed form: 0 meV per atom
Fermi-level density of states: 4.44 states/eV/cell

Structure (Quantum ESPRESSO input):
```
&SYSTEM
  ibrav = 0, nat = 9, ntyp = 3
/
ATOMIC_SPECIES
Na 22.99 Na.upf
In 114.82 In.upf
Pb 207.20 Pb.upf
CELL_PARAMETERS angstrom
7.778 -4.626 0.000
7.778 4.626 0.000
-0.072 0.000 3.459
ATOMIC_POSITIONS angstrom
Na 2.592 0.000 0.001
Na 12.892 0.000 3.459
In 7.742 3.090 1.730
In 5.161 1.529 1.722
In 5.161 -1.529 1.722
In 10.323 1.529 1.738
In 10.323 -1.529 1.738
In 7.742 -3.090 1.730
Pb 7.778 0.000 0.000
```

=====

Record 3
The following is a PBE calculation of a relaxed Na5In4Pb4 crystal, from Alexandria via LeMat-Bulk. Values from VASP.

Calculated values
volume: 396.5 Å³/cell
spin magnetization: 0.0 Bohr magnetons per cell
formation energy from the elements: -83 meV per atom
uncorrected energy: -33.5 eV/f.u.
Fermi-level density of states: 5.11 states/eV/cell

Structure (Quantum ESPRESSO input):
```
&SYSTEM
  ibrav = 0, nat = 13, ntyp = 3
/
ATOMIC_SPECIES
Na 22.99 Na.upf
In 114.82 In.upf
Pb 207.20 Pb.upf
CELL_PARAMETERS angstrom
-6.455 6.455 2.379
6.455 -6.455 2.379
6.455 6.455 -2.379
ATOMIC_POSITIONS angstrom
Na 0.000 0.000 0.000
Na 8.221 3.709 0.000
Na 3.709 4.689 0.000
Na 2.747 1.766 2.379
Na -1.766 2.747 2.379
In 5.358 1.414 0.000
In 5.041 -1.097 2.379
In 1.414 7.553 0.000
In 1.097 5.041 2.379
Pb 9.793 0.690 0.000
Pb 0.690 3.117 0.000
Pb 5.765 3.338 2.379
Pb -3.338 5.765 2.379
```

=====

Record 4
The following is a PBE calculation of a relaxed Na2In5Pb crystal, from Alexandria via LeMat-Bulk. Values from VASP.

Calculated values
volume: 427.5 Å³/cell
spin magnetization: 0.0 Bohr magnetons per cell
formation energy from the elements: -84 meV per atom
uncorrected energy: -20.7 eV/f.u.
Fermi-level density of states: 4.93 states/eV/cell

Structure (Quantum ESPRESSO input):
```
&SYSTEM
  ibrav = 0, nat = 16, ntyp = 3
/
ATOMIC_SPECIES
Na 22.99 Na.upf
In 114.82 In.upf
Pb 207.20 Pb.upf
CELL_PARAMETERS angstrom
6.776 0.000 0.000
0.000 13.157 0.000
0.000 0.000 4.795
ATOMIC_POSITIONS angstrom
Na 1.626 1.632 0.000
Na 1.762 8.211 0.000
Na 5.014 4.946 0.000
Na 5.150 11.525 0.000
In 0.000 6.578 2.398
In 0.089 9.820 2.398
In 1.599 4.898 0.000
In 1.789 11.477 0.000
In 3.299 3.242 2.398
In 3.388 0.000 2.398
In 3.477 9.915 2.398
In 4.987 1.680 0.000
In 5.177 8.258 0.000
In 6.687 3.337 2.398
Pb 0.000 0.000 2.398
Pb 3.388 6.578 2.398
```

=====

Record 5
The following is a PBE calculation of a relaxed Na3In3Pb8 crystal, from Alexandria via LeMat-Bulk. Values from VASP.

Calculated values
volume: 443.5 Å³/cell
spin magnetization: 0.0 Bohr magnetons per cell
formation energy from the elements: -38 meV per atom
uncorrected energy: -42.4 eV/f.u.
Fermi-level density of states: 6.34 states/eV/cell

Structure (Quantum ESPRESSO input):
```
&SYSTEM
  ibrav = 0, nat = 14, ntyp = 3
/
ATOMIC_SPECIES
Na 22.99 Na.upf
In 114.82 In.upf
Pb 207.20 Pb.upf
CELL_PARAMETERS angstrom
7.569 -5.827 0.000
7.569 5.827 0.000
-1.859 0.000 5.027
ATOMIC_POSITIONS angstrom
Na 0.000 0.000 0.000
Na 3.645 0.000 1.383
Na 9.635 0.000 3.645
In 6.640 1.625 2.514
In 7.569 0.000 0.000
In 6.640 -1.625 2.514
Pb 4.976 4.222 1.899
Pb 3.684 2.418 4.279
Pb 8.304 4.222 3.128
Pb 9.596 2.418 0.749
Pb 3.684 -2.418 4.279
Pb 4.976 -4.222 1.899
Pb 9.596 -2.418 0.749
Pb 8.304 -4.222 3.128
```

=====

Record 6
The following is a PBE calculation of a relaxed Na4InPb crystal, from Alexandria via LeMat-Bulk. Values from VASP.

Calculated values
volume: 336.8 Å³/cell
spin magnetization: 0.0 Bohr magnetons per cell
formation energy from the elements: -116 meV per atom
uncorrected energy: -12.4 eV/f.u.
offset from the most stable computed form: 0 meV per atom
Fermi-level density of states: 4.04 states/eV/cell

Structure (Quantum ESPRESSO input):
```
&SYSTEM
  ibrav = 0, nat = 12, ntyp = 3
/
ATOMIC_SPECIES
Na 22.99 Na.upf
In 114.82 In.upf
Pb 207.20 Pb.upf
CELL_PARAMETERS angstrom
3.241 -9.483 0.000
3.241 9.483 0.000
-0.004 0.000 5.479
ATOMIC_POSITIONS angstrom
Na 1.616 3.952 1.370
Na 1.614 0.790 1.358
Na 1.612 -0.790 4.098
Na 1.614 -3.952 4.109
Na 4.865 3.952 1.369
Na 4.866 0.790 1.381
Na 4.864 -0.790 4.120
Na 4.863 -3.952 4.109
In 3.238 2.330 4.109
In 3.240 -2.330 1.370
Pb 3.240 7.073 1.370
Pb 3.238 -7.073 4.109
```

=====

Record 7
The following is a PBE calculation of a relaxed Na3In5Pb3 crystal, from Alexandria via LeMat-Bulk. Values from VASP.

Calculated values
volume: 403.7 Å³/cell
spin magnetization: 0.0 Bohr magnetons per cell
formation energy from the elements: 137 meV per atom
uncorrected energy: -27.3 eV/f.u.
Fermi-level density of states: 6.72 states/eV/cell

Structure (Quantum ESPRESSO input):
```
&SYSTEM
  ibrav = 0, nat = 11, ntyp = 3
/
ATOMIC_SPECIES
Na 22.99 Na.upf
In 114.82 In.upf
Pb 207.20 Pb.upf
CELL_PARAMETERS angstrom
9.283 0.000 0.000
-4.642 8.040 0.000
0.000 0.000 5.409
ATOMIC_POSITIONS angstrom
Na -2.747 4.758 0.000
Na 1.895 3.281 0.000
Na 5.494 0.000 0.000
In -1.777 3.078 2.704
In 0.000 5.360 2.704
In 3.554 0.000 2.704
In 2.865 4.962 2.704
In 4.642 2.680 2.704
Pb -3.707 6.421 2.704
Pb 0.934 1.618 2.704
Pb 7.415 0.000 2.704
```

=====

Record 8
The following is a PBE calculation of a relaxed Na2In4Pb3 crystal, from Alexandria via LeMat-Bulk. Values from VASP.

Calculated values
volume: 255.5 Å³/cell
spin magnetization: 0.0 Bohr magnetons per cell
formation energy from the elements: -59 meV per atom
uncorrected energy: -25.2 eV/f.u.
offset from the most stable computed form: 17 meV per atom
Fermi-level density of states: 4.17 states/eV/cell

Structure (Quantum ESPRESSO input):
```
&SYSTEM
  ibrav = 0, nat = 9, ntyp = 3
/
ATOMIC_SPECIES
Na 22.99 Na.upf
In 114.82 In.upf
Pb 207.20 Pb.upf
CELL_PARAMETERS angstrom
7.767 -2.277 0.000
7.767 2.277 0.000
-2.634 0.000 7.223
ATOMIC_POSITIONS angstrom
Na 2.534 0.000 0.014
Na 10.365 0.000 7.209
In 0.015 0.000 2.424
In 2.566 0.000 4.757
In 10.334 0.000 2.466
In 12.884 0.000 4.799
Pb 5.095 0.000 2.491
Pb 7.767 0.000 0.000
Pb 7.805 0.000 4.732
```